Entry 1:
A plane-wave DFT calculation with PBE was carried out for crystalline YHfMnSn2 at its relaxed geometry.

Its formation enthalpy at 0 K is 1.78 eV/atom.

It has space group P4/mmm (No. 123), with a = 5.572 Å, b = 5.572 Å, c = 5.201 Å, α = 90.00°, β = 90.00° and γ = 90.00°. The inequivalent atoms are Y at (0.000, 0.000, 0.000), Hf at (0.000, 0.000, 0.500), Mn at (0.500, 0.500, 0.500) and Sn at (0.000, 0.500, 0.000).

Entry 2:
A plane-wave DFT calculation with PBE was carried out for crystalline Cd3Ag2Pt at its relaxed geometry.

Its formation enthalpy at 0 K is -0.11 eV/atom.

It has space group C2/m (No. 12), with a = 18.292 Å, b = 4.538 Å, c = 5.820 Å, α = 90.00°, β = 100.51° and γ = 90.00°. The inequivalent atoms are Cd at (0.024, 0.000, 0.264), Cd at (0.134, 0.500, 0.222), Cd at (0.224, 0.500, 0.828), Ag at (0.070, 0.500, 0.651), Ag at (0.182, 0.000, 0.521) and Pt at (0.128, 0.000, 0.949).

Entry 3:
A plane-wave DFT calculation with PBE was carried out for crystalline SrSc2Fe at its relaxed geometry.

Its formation enthalpy at 0 K is 0.62 eV/atom.

It has space group C2/m (No. 12), with a = 6.353 Å, b = 10.927 Å, c = 3.224 Å, α = 90.00°, β = 117.60° and γ = 90.00°. The inequivalent atoms are Sr at (0.000, 0.000, 0.000), Sc at (0.250, 0.250, 0.500) and Fe at (0.000, 0.500, 0.000).

Entry 4:
A plane-wave DFT calculation with PBE was carried out for crystalline TiW at its relaxed geometry.

Its formation enthalpy at 0 K is 0.94 eV/atom.

It has space group P4_2/mnm (No. 136), with a = 5.168 Å, b = 5.168 Å, c = 5.297 Å, α = 90.00°, β = 90.00° and γ = 90.00°. The inequivalent atoms are Ti at (0.201, 0.201, 0.000) and W at (0.198, 0.198, 0.500).

Entry 5:
A plane-wave DFT calculation with PBE was carried out for crystalline LaZr2Cr2 at its relaxed geometry.

Its formation enthalpy at 0 K is 0.48 eV/atom.

It has space group I4/mmm (No. 139), with a = 3.279 Å, b = 3.279 Å, c = 19.940 Å, α = 90.00°, β = 90.00° and γ = 90.00°. The inequivalent atoms are La at (0.000, 0.000, 0.000), Zr at (0.000, 0.000, 0.367) and Cr at (0.000, 0.500, 0.250).

Entry 6:
A plane-wave DFT calculation with PBE was carried out for crystalline AgSbTe2 at its relaxed geometry.

The uncorrected formation energy is 0.04 eV/atom.

It has space group R3m (No. 160, hexagonal axes), with a = 4.3962 Å, b = 4.3962 Å, c = 20.5474 Å, α = 90.00°, β = 90.00° and γ = 120.00°. The inequivalent atoms are Ag at (0.0000, 0.0000, 0.0000), Sb at (0.0000, 0.0000, 0.2549), Te at (0.0000, 0.0000, 0.5026) and Te at (0.0000, 0.0000, 0.7262).

Entry 7:
A plane-wave DFT calculation with PBE was carried out for crystalline Pm2NdGaN4 at its relaxed geometry.

The uncorrected formation energy is -1.06 eV/atom.

It has space group Cmcm (No. 63), with a = 3.504 Å, b = 11.805 Å, c = 12.112 Å, α = 90.00°, β = 90.00° and γ = 90.00°. The inequivalent atoms are Pm at (0.000, 0.131, 0.044), Nd at (0.000, 0.392, 0.250), Ga at (0.000, 0.337, 0.750), N at (0.000, 0.062, 0.250), N at (0.000, 0.230, 0.629) and N at (0.000, 0.500, 0.000).

Entry 8:
A plane-wave DFT calculation with PBE was carried out for crystalline Pa3OsC at its relaxed geometry.

Its formation enthalpy at 0 K is -0.12 eV/atom.

It has space group P2_1/c (No. 14), with a = 7.153 Å, b = 8.191 Å, c = 8.682 Å, α = 90.00°, β = 126.69° and γ = 90.00°. The inequivalent atoms are Pa at (0.172, 0.177, 0.098), Pa at (0.219, 0.551, 0.271), Pa at (0.288, 0.587, 0.936), Os at (0.409, 0.625, 0.676) and C at (0.055, 0.240, 0.789).

Entry 9:
A plane-wave DFT calculation with PBE was carried out for crystalline PmAl2Ru at its relaxed geometry.

Its formation enthalpy at 0 K is -0.49 eV/atom.

It has space group R-3m (No. 166, hexagonal axes), with a = 4.2561 Å, b = 4.2561 Å, c = 15.7456 Å, α = 90.00°, β = 90.00° and γ = 120.00°. The inequivalent atoms are Pm at (0.0000, 0.0000, 0.0000), Al at (0.0000, 0.0000, 0.2055) and Ru at (0.0000, 0.0000, 0.5000).

Entry 10:
A plane-wave DFT calculation with PBE was carried out for crystalline MnVNi5 at its relaxed geometry.

Its formation enthalpy at 0 K is 0.03 eV/atom.

It has space group P4/mmm (No. 123), with a = 3.512 Å, b = 3.512 Å, c = 7.006 Å, α = 90.00°, β = 90.00° and γ = 90.00°. The inequivalent atoms are Mn at (0.000, 0.000, 0.000), V at (0.500, 0.500, 0.500), Ni at (0.000, 0.000, 0.500) and Ni at (0.000, 0.500, 0.248).

Entry 11:
A plane-wave DFT calculation with PBE was carried out for crystalline Sm4HoRh2 at its relaxed geometry.

Its formation enthalpy at 0 K is -0.40 eV/atom.

It has space group P2_1/m (No. 11), with a = 7.946 Å, b = 6.452 Å, c = 8.036 Å, α = 90.00°, β = 113.51° and γ = 90.00°. The inequivalent atoms are Sm at (0.017, 0.250, 0.381), Sm at (0.248, 0.750, 0.338), Sm at (0.413, 0.004, 0.768), Ho at (0.156, 0.250, 0.031), Rh at (0.232, 0.750, 0.990) and Rh at (0.371, 0.250, 0.408).

Entry 12:
A plane-wave DFT calculation with PBE was carried out for crystalline BaDy2Cd9 at its relaxed geometry.

Its formation enthalpy at 0 K is -0.24 eV/atom.

It has space group R-3m (No. 166, hexagonal axes), with a = 6.0961 Å, b = 6.0961 Å, c = 28.6864 Å, α = 90.00°, β = 90.00° and γ = 120.00°. The inequivalent atoms are Ba at (0.0000, 0.0000, 0.0000), Dy at (0.0000, 0.0000, 0.1474), Cd at (0.0000, 0.0000, 0.3361), Cd at (0.0000, 0.0000, 0.5000) and Cd at (0.0103, 0.5051, 0.9130).